Entry 1:
Density functional theory data (PBE-GGA) for CeCrRe after structural relaxation.

Computed properties:
As for the formation energy from the elements: 0.31 eV/f.u.

Unit cell a=5.5656 b=5.6804 c=6.7331 alpha=90.00 beta=90.00 gamma=90.00
Closest atoms and distances in Å follow each position.
Space group Imma (No. 74)
One atom of each set of equivalent atoms:
Ce: 0.0000 0.2500 0.1342  2 Cr 2.84, 2 Re 2.94
Cr: 0.0000 0.0000 0.5000  4 Re 2.61, 2 Cr 2.84, 2 Ce 2.84
Re: 0.2500 0.2500 0.7500  4 Cr 2.61, 2 Re 2.78


Entry 2:
Density functional theory data (PBE-GGA) for CeCrReSi2 after structural relaxation.

Computed properties:
The calculation puts the energy relative to the elements, uncorrected at -2.3 eV per formula unit.

Unit cell a=4.0377 b=4.0377 c=10.5223 alpha=90.00 beta=90.00 gamma=90.00
Closest atoms and distances in Å follow each position.
Space group I-4m2 (No. 119)
One atom of each set of equivalent atoms:
Ce: 0.0000 0.0000 0.0000  8 Si 3.11, 4 Cr 3.32, 4 Re 3.32
Cr: 0.0000 0.5000 0.2500  4 Si 2.45
Re: 0.0000 0.5000 0.7500  4 Si 2.45
Si: 0.0000 0.0000 0.3821  2 Cr 2.45, 2 Re 2.45, 1 Si 2.48


Entry 3:
Density functional theory data (PBE-GGA) for CeCrS2 after structural relaxation.

Computed properties:
The calculation puts the energy relative to the elements, uncorrected at -1.8 eV per formula unit.

Unit cell a=3.0703 b=3.0703 c=26.1883 alpha=90.00 beta=90.00 gamma=120.00
Closest atoms and distances in Å follow each position.
Space group R-3m (No. 166, hexagonal axes)
One atom of each set of equivalent atoms:
Ce: 0.0000 0.0000 0.0000  2 S 2.87, 6 Ce 3.07
Cr: 0.0000 0.0000 0.5000  6 S 2.32
S: 0.0000 0.0000 0.1095  3 Cr 2.32


Entry 4:
Density functional theory data (PBE-GGA) for CeCr2S4 after structural relaxation.

Computed properties:
The calculation puts the energy relative to the elements, uncorrected at -7.5 eV per formula unit.

Unit cell a=6.1168 b=3.6481 c=6.4291 alpha=90.00 beta=108.31 gamma=90.00
Closest atoms and distances in Å follow each position.
Space group P2/m (No. 10)
One atom of each set of equivalent atoms:
Ce: 0.0000 0.0000 0.0000  6 S 2.74-2.78
Cr: 0.0000 0.5000 0.5000  6 S 2.44-2.45
Cr: 0.5000 0.0000 0.5000  6 S 2.37-2.42
S: 0.2399 0.0000 0.7055  3 Cr 2.37-2.45
S: 0.2738 0.5000 0.2936  3 Cr 2.42-2.44


Number 1: volume 212.9 Å³ per cell, total magnetic moment 0.0 Bohr magnetons per cell. Number 2: volume 171.5 Å³ per cell, total magnetic moment 4.3 Bohr magnetons per cell. Number 3: volume 213.8 Å³ per cell, total magnetic moment 0.1 Bohr magnetons per cell. Number 4: volume 136.2 Å³ per cell, total magnetic moment 4.3 Bohr magnetons per cell.